1.
Material: Li3GaN
Method: DFT, PBEsol
State: optimized geometry

abc: 3.9498 3.9498 3.9498
angles: 90.00 90.00 90.00
Closest atoms and distances in Å follow each position.
Sites, in units of the cell vectors:
Li 0.0000 0.0000 0.5000  2 N 1.97
Li 0.0000 0.5000 0.0000  2 N 1.97
Li 0.5000 0.0000 0.0000  2 N 1.97
Ga 0.5000 0.5000 0.5000  12 Li 2.79
N 0.0000 0.0000 0.0000  6 Li 1.97

The symmetry is Pm-3m.



2.
Material: LiGaN2O
Method: DFT, PBEsol
State: optimized geometry

abc: 3.9350 3.9350 3.8611
angles: 90.00 90.00 90.00
Closest atoms and distances in Å follow each position.
Sites, in units of the cell vectors:
Li 0.0000 0.0000 0.0000  8 N 2.76, 4 O 2.78
Ga 0.5000 0.5000 0.5000  2 O 1.93, 4 N 1.97
N 0.0000 0.5000 0.5000  2 Ga 1.97
N 0.5000 0.0000 0.5000  2 Ga 1.97
O 0.5000 0.5000 0.0000  2 Ga 1.93

The symmetry is P4/mmm.



Number 1: E_tot -18.54 eV per cell, formation energy (no corrections) -0.16 eV/atom. Number 2: E_tot -24.84 eV per cell, formation energy (no corrections) 0.55 eV/atom.